1.
Density functional theory data (GGA-PBE) for an optimized crystal structure of PrDy3Cd2.

Lattice parameters (Å, degrees): 3.6923 3.6923 12.6968 90.00 90.00 90.00
Element x y z (fractional)
Pr (0.5000, 0.5000, 0.5000)
Cd (0.5000, 0.5000, 0.1500)
Dy (0.0000, 0.0000, 0.0000)
Dy (0.0000, 0.0000, 0.3005)
Cd (0.5000, 0.5000, 0.8500)
Dy (0.0000, 0.0000, 0.6995)

Results
* offset from the most stable computed form: 0 meV/atom
* calculated formation energy: -20 kJ per mole of atoms
* crystal system: tetragonal
* DOS at the Fermi energy: 7.0 states/eV/cell
* M_tot: 0.00 Bohr magnetons per cell

2.
Density functional theory data (GGA-PBE) for an optimized crystal structure of MgZnRh4.

Lattice parameters (Å, degrees): 5.1359 5.1359 5.1359 60.00 60.00 60.00
Element x y z (fractional)
Rh (0.3752, 0.8745, 0.3752)
Zn (0.7500, 0.7500, 0.7500)
Mg (0.0000, 0.0000, 0.0000)
Rh (0.3752, 0.3752, 0.8745)
Rh (0.3752, 0.3752, 0.3752)
Rh (0.8745, 0.3752, 0.3752)

Results
* calculated formation energy: -4 kJ per mole of atoms
* crystal system: cubic
* DOS at the Fermi energy: 8.8 states/eV/cell
* M_tot: 0.03 Bohr magnetons per cell

3.
Density functional theory data (GGA-PBE) for an optimized crystal structure of NiB2WSe.

Lattice parameters (Å, degrees): 4.1735 4.7709 4.1735 90.00 90.00 90.00
Element x y z (fractional)
Ni (0.0000, 0.5000, 0.0000)
B (0.5000, 0.0000, 0.0000)
B (0.0000, 0.0000, 0.5000)
W (0.0000, 0.0000, 0.0000)
Se (0.5000, 0.5000, 0.5000)

Results
* uncorrected formation energy: 1567 meV per atom
* crystal system: tetragonal
* DOS at the Fermi energy: 4.2 states/eV/cell
* M_tot: 0.00 Bohr magnetons per cell